1 | A PBEsol-optimized structure of KTa2Tl. Source: Alexandria via LeMat-Bulk, functional meta-GGA SCAN.

Unit cell a=2.849 b=5.331 c=11.918 alpha=90.00 beta=90.00 gamma=90.00
Space group Immm (No. 71)
Unique sites:
K (0.000, 0.000, 0.000) x2
Ta (0.000, 0.500, 0.219) x4
Tl (0.000, 0.000, 0.500) x2

- crystal system = orthorhombic

2 | A PBEsol-optimized structure of KTa2Tl. Source: Alexandria via LeMat-Bulk, functional meta-GGA SCAN.

Unit cell a=3.026 b=5.216 c=6.836 alpha=90.00 beta=99.24 gamma=90.00
Space group P2/m (No. 10)
Unique sites:
K (0.000, 0.000, 0.000) x1
Ta (0.270, 0.500, 0.653) x2
Tl (0.500, 0.000, 0.500) x1

- crystal system = monoclinic

Energies in meV/atom, measured from the most stable structure: 1 0; 2 83.